# 1
! GGA-PBE Cs2NdAs2Se6, optimized geometry; values from VASP
! Space group: C2/m (12)
! Volume (Å³/atom): 35.98
! Electronic total energy (eV/cell): -45.20
! E_form (uncorrected) (eV per atom): -0.774
&SYSTEM
  ibrav = 0, nat = 11, ntyp = 4
/
ATOMIC_SPECIES
Cs 132.91 Cs.upf
Nd 144.24 Nd.upf
As 74.92 As.upf
Se 78.96 Se.upf
ATOMIC_POSITIONS angstrom
Cs 3.795 1.961 1.519
Cs 0.000 0.492 6.320
Nd 3.795 -2.058 4.050
As 3.795 2.592 6.396
As 0.000 -0.138 1.443
Se 3.795 0.692 4.925
Se -1.840 5.097 1.499
Se 1.955 -2.644 6.340
Se 5.635 -2.644 6.340
Se 1.840 5.097 1.499
Se 0.000 1.761 2.914
CELL_PARAMETERS angstrom
7.590 0.000 0.000
-3.795 6.570 -0.260
0.000 -4.116 8.099

=====

# 2
! GGA-PBE Sr3Pr3HoTe8, optimized geometry; values from VASP
! Space group: R-3m (166)
! Volume (Å³/atom): 36.79
! Electronic total energy (eV/cell): -72.36
! E_form (uncorrected) (eV per atom): -1.551
&SYSTEM
  ibrav = 0, nat = 15, ntyp = 4
/
ATOMIC_SPECIES
Sr 87.62 Sr.upf
Pr 140.91 Pr.upf
Ho 164.93 Ho.upf
Te 127.60 Te.upf
ATOMIC_POSITIONS angstrom
Sr 0.000 0.000 0.000
Sr -2.272 3.936 -0.014
Sr 2.272 3.936 -0.014
Pr 4.544 -2.610 3.867
Pr 2.272 1.326 3.853
Pr -2.272 1.326 3.853
Ho 0.000 -2.610 3.867
Te 0.000 2.632 1.975
Te 4.544 0.020 5.731
Te 4.544 2.692 2.042
Te 0.000 -0.040 5.664
Te 6.871 -1.336 2.059
Te -2.327 3.988 5.647
Te 2.217 -1.336 2.059
Te 2.327 3.988 5.647
CELL_PARAMETERS angstrom
9.088 0.000 0.000
-4.544 7.871 -0.028
0.000 -5.220 7.734

=====

# 3
! GGA-PBE Be3Mo, optimized geometry; values from VASP
! E above lowest polymorph (eV per formula unit): 2.23
! Space group: Pm-3n (223)
! Volume (Å³/atom): 10.49
! Electronic total energy (eV/cell): -41.43
&SYSTEM
  ibrav = 0, nat = 8, ntyp = 2
/
ATOMIC_SPECIES
Be 9.01 Be.upf
Mo 95.94 Mo.upf
ATOMIC_POSITIONS angstrom
Be 3.284 2.189 0.000
Be 1.095 2.189 0.000
Be 0.000 3.284 2.189
Be 0.000 1.095 2.189
Be 2.189 0.000 1.095
Be 2.189 0.000 3.284
Mo 0.000 0.000 0.000
Mo 2.189 2.189 2.189
CELL_PARAMETERS angstrom
4.378 0.000 0.000
0.000 4.378 0.000
0.000 0.000 4.378

=====

# 4
! GGA-PBE Tl2BiO, optimized geometry; values from VASP
! E above lowest polymorph (eV per formula unit): 0.00
! Space group: I-42d (122)
! Volume (Å³/atom): 27.05
! Electronic total energy (eV/cell): -28.24
! E_form (uncorrected) (eV per atom): -0.137
&SYSTEM
  ibrav = 0, nat = 8, ntyp = 3
/
ATOMIC_SPECIES
Tl 204.38 Tl.upf
Bi 208.98 Bi.upf
O 16.00 O.upf
ATOMIC_POSITIONS angstrom
Tl -4.473 1.552 2.100
Tl -5.623 -1.953 -0.062
Tl -8.057 -1.465 2.677
Tl -12.174 -0.445 3.214
Bi 0.000 0.000 0.000
Bi -7.402 1.568 3.295
O -5.029 0.353 0.111
O -7.761 -2.723 0.670
CELL_PARAMETERS angstrom
-4.670 4.644 2.736
-5.389 -3.937 -2.514
-5.105 -1.862 3.743